No. 1
Computed, not measured: an optimized crystal structure of ScNi2P at the GGA-PBEsol level of DFT.

Unit cell a=3.044 b=3.044 c=5.700 alpha=90.00 beta=90.00 gamma=90.00
Space group P4mm (No. 99)
Symmetry-distinct sites (fractional):
Sc (0.000, 0.000, 0.000) [1 per cell]
Ni (0.000, 0.000, 0.514) [1 per cell]
Ni (0.500, 0.500, 0.271) [1 per cell]
P (0.500, 0.500, 0.661) [1 per cell]

Computed properties:
- Energy above the lowest structure with this stoichiometry: 0.485 eV/f.u.
- E_tot: -6.68 eV per atom
- Total magnetization: 0.000 μB per formula unit
- Fermi-level density of states: 2.65 states/eV/cell
- Crystal system: tetragonal
- Energy relative to the elements: -0.50 eV per atom



No. 2
Computed, not measured: an optimized crystal structure of GdAl3B4O12 at the GGA-PBEsol level of DFT.

Unit cell a=7.215 b=9.340 c=16.165 alpha=90.00 beta=90.21 gamma=90.00
Space group C2 (No. 5)
Symmetry-distinct sites (fractional):
Gd (0.000, 0.000, 0.000) [2 per cell]
Gd (0.171, 0.071, 0.668) [4 per cell]
Al (0.000, 0.447, 0.000) [2 per cell]
Al (0.037, 0.787, 0.814) [4 per cell]
Al (0.130, 0.284, 0.852) [4 per cell]
Al (0.167, 0.625, 0.666) [4 per cell]
Al (0.204, 0.292, 0.481) [4 per cell]
B (0.000, 0.013, 0.500) [2 per cell]
B (0.000, 0.569, 0.500) [2 per cell]
B (0.035, 0.348, 0.315) [4 per cell]
B (0.130, 0.849, 0.352) [4 per cell]
B (0.166, 0.064, 0.170) [4 per cell]
B (0.167, 0.507, 0.164) [4 per cell]
B (0.203, 0.723, 0.981) [4 per cell]
O (0.000, 0.162, 0.500) [2 per cell]
O (0.000, 0.421, 0.500) [2 per cell]
O (0.008, 0.771, 0.303) [4 per cell]
O (0.024, 0.493, 0.326) [4 per cell]
O (0.031, 0.131, 0.123) [4 per cell]
O (0.038, 0.432, 0.118) [4 per cell]
O (0.069, 0.271, 0.741) [4 per cell]
O (0.098, 0.798, 0.926) [4 per cell]
O (0.125, 0.644, 0.549) [4 per cell]
O (0.138, 0.994, 0.341) [4 per cell]
O (0.139, 0.945, 0.543) [4 per cell]
O (0.160, 0.273, 0.364) [4 per cell]
O (0.165, 0.655, 0.168) [4 per cell]
O (0.168, 0.915, 0.166) [4 per cell]
O (0.174, 0.300, 0.970) [4 per cell]
O (0.193, 0.578, 0.994) [4 per cell]
O (0.198, 0.939, 0.790) [4 per cell]
O (0.206, 0.640, 0.784) [4 per cell]
O (0.235, 0.773, 0.408) [4 per cell]

Computed properties:
- E_tot: -8.75 eV per atom
- Total magnetization: 6.971 μB per formula unit
- Fermi-level density of states: 0.00 states/eV/cell
- Energy relative to the elements, uncorrected: -2.866 eV per atom
- Crystal system: monoclinic



No. 3
Computed, not measured: an optimized crystal structure of TcOs2W at the GGA-PBEsol level of DFT.

Unit cell a=2.739 b=3.836 c=5.510 alpha=90.00 beta=90.00 gamma=90.00
Space group Pmm2 (No. 25)
Symmetry-distinct sites (fractional):
Tc (0.000, 0.000, 0.000) [1 per cell]
Os (0.000, 0.000, 0.518) [1 per cell]
Os (0.500, 0.500, 0.769) [1 per cell]
W (0.500, 0.500, 0.266) [1 per cell]

Computed properties:
- Energy above the lowest structure with this stoichiometry: 0.304 eV/f.u.
- E_tot: -12.28 eV per atom
- Total magnetization: 0.000 μB per formula unit
- Fermi-level density of states: 3.86 states/eV/cell
- Crystal system: orthorhombic
- Energy relative to the elements: 0.10 eV per atom



No. 4
Computed, not measured: an optimized crystal structure of SrLa2Te at the GGA-PBEsol level of DFT.

Unit cell a=6.810 b=12.016 c=3.829 alpha=90.00 beta=122.54 gamma=90.00
Space group C2/m (No. 12)
Symmetry-distinct sites (fractional):
Sr (0.000, 0.000, 0.000) [2 per cell]
La (0.250, 0.250, 0.500) [4 per cell]
Te (0.000, 0.500, 0.000) [2 per cell]

Computed properties:
- E_tot: -4.45 eV per atom
- Total magnetization: 0.000 μB per formula unit
- Fermi-level density of states: 8.87 states/eV/cell
- Energy relative to the elements, uncorrected: -0.432 eV per atom
- Crystal system: monoclinic



- Which value of Fermi-level density of states does entry 4 give?
  8.87 states/eV/cell